Record 1
AcY2Tl2 (PBE, optimized geometry); spin magnetization = 0.00 μB per formula unit; formation energy from the elements = -254 meV/atom
1.0
-2.444 2.444 6.933
2.444 -2.444 6.933
2.444 2.444 -6.933
Ac Y Tl
1 2 2
Direct
0.000 0.000 0.000 Ac
0.250 0.750 0.500 Y
0.750 0.250 0.500 Y
0.395 0.395 0.000 Tl
0.605 0.605 0.000 Tl

Record 2
Ac3YTl3 (PBE, optimized geometry); spin magnetization = 0.00 μB per formula unit; formation energy from the elements = -215 meV/atom
1.0
4.404 -5.832 0.000
4.404 5.832 0.000
-0.656 0.000 10.003
Ac Y Tl
6 2 6
Direct
0.178 0.822 0.000 Ac
0.249 0.751 0.500 Ac
0.399 0.399 0.183 Ac
0.601 0.601 0.817 Ac
0.751 0.249 0.500 Ac
0.822 0.178 0.000 Ac
0.260 0.260 0.547 Y
0.740 0.740 0.453 Y
0.028 0.028 0.277 Tl
0.073 0.461 0.766 Tl
0.461 0.073 0.766 Tl
0.539 0.927 0.234 Tl
0.927 0.539 0.234 Tl
0.972 0.972 0.723 Tl

Record 3
AcYTl (PBE, optimized geometry); relative energy among the computed polymorphs = 13.19 kcal/mol of atoms; spin magnetization = 0.27 μB per formula unit; formation energy from the elements = 301 meV/atom
1.0
-1.786 1.786 9.006
1.786 -1.786 9.006
1.786 1.786 -9.006
Ac Y Tl
1 1 1
Direct
0.000 0.000 0.000 Ac
0.202 0.202 0.000 Y
0.817 0.817 0.000 Tl

Which value of formation energy from the elements does entry 3 give?
301 meV/atom

Please write out number 3 again, unchanged.
AcYTl (PBE, optimized geometry); relative energy among the computed polymorphs = 13.19 kcal/mol of atoms; spin magnetization = 0.27 μB per formula unit; formation energy from the elements = 301 meV/atom
1.0
-1.786 1.786 9.006
1.786 -1.786 9.006
1.786 1.786 -9.006
Ac Y Tl
1 1 1
Direct
0.000 0.000 0.000 Ac
0.202 0.202 0.000 Y
0.817 0.817 0.000 Tl

Among the records above, which one has the highest spin magnetization?
AcYTl